First-principles (GGA-PBE) data for a relaxed NaSiOs crystal, as listed in OQMD.

Unit cell a=4.2568 b=4.2568 c=4.2568 alpha=60.00 beta=60.00 gamma=60.00
Fractional coordinates of all 3 atoms:
Na 0.0000 0.0000 0.0000
Si 0.2500 0.2500 0.2500
Os 0.7500 0.7500 0.7500

The uncorrected energy is -4.160 eV per atom. The theoretical density is 7.347 g cm⁻³.



First-principles (GGA-PBE) data for a relaxed Na2TcOsO6 crystal, as listed in OQMD.

Unit cell a=5.4375 b=5.4375 c=5.4375 alpha=60.00 beta=60.00 gamma=60.00
Fractional coordinates of all 10 atoms:
Na 0.2500 0.2500 0.2500
Na 0.7500 0.7500 0.7500
Tc 0.0000 0.0000 0.0000
Os 0.5000 0.5000 0.5000
O 0.2503 0.2503 0.7497
O 0.2503 0.7497 0.2503
O 0.2503 0.7497 0.7497
O 0.7497 0.2503 0.2503
O 0.7497 0.2503 0.7497
O 0.7497 0.7497 0.2503

The uncorrected energy is -6.783 eV per atom. The theoretical density is 6.284 g cm⁻³.



First-principles (GGA-PBE) data for a relaxed MgAsIrO crystal, as listed in OQMD.

Unit cell a=3.7570 b=5.9843 c=5.5449 alpha=90.00 beta=90.00 gamma=90.00
Fractional coordinates of all 8 atoms:
Mg 0.0000 0.1557 0.0000
Mg 0.0000 0.8443 0.5000
As 0.0000 0.3013 0.4962
As 0.0000 0.6987 0.9962
Ir 0.5000 0.5003 0.2432
Ir 0.5000 0.4997 0.7432
O 0.5000 0.2367 0.9935
O 0.5000 0.7633 0.4935

The uncorrected energy is -5.844 eV per atom. The theoretical density is 8.190 g cm⁻³.



First-principles (GGA-PBE) data for a relaxed LiLuCuGe crystal, as listed in OQMD.

Unit cell a=4.4866 b=4.4866 c=4.4866 alpha=60.00 beta=60.00 gamma=60.00
Fractional coordinates of all 4 atoms:
Li 0.0000 0.0000 0.0000
Lu 0.7500 0.7500 0.7500
Cu 0.5000 0.5000 0.5000
Ge 0.2500 0.2500 0.2500

The uncorrected energy is -4.001 eV per atom. The theoretical density is 8.271 g cm⁻³.



First-principles (GGA-PBE) data for a relaxed OsAuNO crystal, as listed in OQMD.

Unit cell a=2.8688 b=6.7225 c=5.8883 alpha=90.00 beta=90.00 gamma=90.00
Fractional coordinates of all 8 atoms:
Os 0.0000 0.1275 0.0000
Os 0.0000 0.8725 0.5000
Au 0.5000 0.4859 0.5838
Au 0.5000 0.5141 0.0838
N 0.5000 0.2757 0.8451
N 0.5000 0.7243 0.3451
O 0.0000 0.1092 0.3215
O 0.0000 0.8908 0.8215

The uncorrected energy is -6.619 eV per atom. The theoretical density is 12.201 g cm⁻³.



First-principles (GGA-PBE) data for a relaxed Cu2Ag3 crystal, as listed in OQMD.

Unit cell a=6.1492 b=6.1492 c=9.3743 alpha=101.78 beta=101.78 gamma=26.83
Fractional coordinates of all 10 atoms:
Cu 0.0979 0.0979 0.2876
Cu 0.3018 0.3018 0.9030
Cu 0.6982 0.6982 0.0970
Cu 0.9021 0.9021 0.7124
Ag 0.0000 0.0000 0.0000
Ag 0.2108 0.2108 0.6083
Ag 0.3955 0.3955 0.1947
Ag 0.5000 0.5000 0.5000
Ag 0.6045 0.6045 0.8053
Ag 0.7892 0.7892 0.3917

The uncorrected energy is -3.080 eV per atom. As for the formation energy from the elements: 0.101 eV/atom. The theoretical density is 9.568 g cm⁻³.



First-principles (GGA-PBE) data for a relaxed LuNiAu crystal, as listed in OQMD.

Unit cell a=4.4919 b=4.4919 c=4.4919 alpha=60.00 beta=60.00 gamma=60.00
Fractional coordinates of all 3 atoms:
Lu 0.0000 0.0000 0.0000
Ni 0.2500 0.2500 0.2500
Au 0.7500 0.7500 0.7500

The uncorrected energy is -4.557 eV per atom. As for the formation energy from the elements: -0.104 eV/atom. The theoretical density is 11.157 g cm⁻³.



First-principles (GGA-PBE) data for a relaxed Gd3Mg3CdPt2 crystal, as listed in OQMD.

Unit cell a=7.5792 b=7.5792 c=4.1246 alpha=90.00 beta=90.00 gamma=120.00
Fractional coordinates of all 9 atoms:
Gd 0.0000 0.4225 0.0000
Gd 0.4225 0.0000 0.0000
Gd 0.5775 0.5775 0.0000
Mg 0.0000 0.7424 0.5000
Mg 0.2576 0.2576 0.5000
Mg 0.7424 0.0000 0.5000
Cd 0.0000 0.0000 0.0000
Pt 0.3333 0.6667 0.5000
Pt 0.6667 0.3333 0.5000

The uncorrected energy is -4.205 eV per atom. The theoretical density is 8.475 g cm⁻³.



First-principles (GGA-PBE) data for a relaxed LiLuFeS3 crystal, as listed in OQMD.

Unit cell a=7.3950 b=3.7449 c=9.2764 alpha=90.00 beta=102.53 gamma=90.00
Fractional coordinates of all 12 atoms:
Li 0.1687 0.2500 0.1351
Li 0.8313 0.7500 0.8649
Lu 0.3367 0.7500 0.8455
Lu 0.6633 0.2500 0.1545
Fe 0.0648 0.2500 0.5928
Fe 0.9352 0.7500 0.4072
S 0.0747 0.2500 0.8438
S 0.2336 0.7500 0.5469
S 0.4082 0.7500 0.1419
S 0.5918 0.2500 0.8581
S 0.7664 0.2500 0.4531
S 0.9253 0.7500 0.1562

The uncorrected energy is -5.805 eV per atom. The theoretical density is 4.422 g cm⁻³.



First-principles (GGA-PBE) data for a relaxed GeAu9 crystal, as listed in OQMD.

Unit cell a=2.9224 b=4.1310 c=44.2599 alpha=90.00 beta=90.00 gamma=90.00
Fractional coordinates of all 20 atoms:
Ge 0.2500 0.2500 0.1834
Ge 0.7500 0.7500 0.8166
Au 0.2500 0.2500 0.2465
Au 0.2500 0.2500 0.3145
Au 0.2500 0.2500 0.3821
Au 0.2500 0.2500 0.4494
Au 0.2500 0.2500 0.5167
Au 0.2500 0.2500 0.5839
Au 0.2500 0.2500 0.6514
Au 0.2500 0.2500 0.7191
Au 0.2500 0.2500 0.7903
Au 0.7500 0.7500 0.2097
Au 0.7500 0.7500 0.2809
Au 0.7500 0.7500 0.3486
Au 0.7500 0.7500 0.4161
Au 0.7500 0.7500 0.4833
Au 0.7500 0.7500 0.5506
Au 0.7500 0.7500 0.6179
Au 0.7500 0.7500 0.6855
Au 0.7500 0.7500 0.7535

The uncorrected energy is -3.367 eV per atom. The theoretical density is 11.470 g cm⁻³.



First-principles (GGA-PBE) data for a relaxed Co3AgSb5 crystal, as listed in OQMD.

Unit cell a=5.2498 b=5.2498 c=7.7891 alpha=90.00 beta=90.00 gamma=120.00
Fractional coordinates of all 9 atoms:
Co 0.0000 0.5000 0.0000
Co 0.5000 0.0000 0.0000
Co 0.5000 0.5000 0.0000
Ag 0.0000 0.0000 0.5000
Sb 0.0000 0.0000 0.0000
Sb 0.3333 0.6667 0.2778
Sb 0.3333 0.6667 0.7222
Sb 0.6667 0.3333 0.2778
Sb 0.6667 0.3333 0.7222

The uncorrected energy is -4.888 eV per atom. The theoretical density is 7.980 g cm⁻³.



First-principles (GGA-PBE) data for a relaxed BeInPd2 crystal, as listed in OQMD.

Unit cell a=4.4057 b=4.4057 c=4.4057 alpha=60.00 beta=60.00 gamma=60.00
Fractional coordinates of all 4 atoms:
Be 0.0000 0.0000 0.0000
In 0.7500 0.7500 0.7500
Pd 0.2500 0.2500 0.2500
Pd 0.5000 0.5000 0.5000

The uncorrected energy is -4.394 eV per atom. The theoretical density is 9.246 g cm⁻³.



> Number 3 is which compound?

MgAsIrO